# 1
DFT (GGA-PBE) results for crystalline BaLa2AgBr at its relaxed geometry.

Results
The calculation puts the uncorrected formation energy at -0.179 eV per atom. Its crystal system is tetragonal. The space group is P4/mmm (123).

abc: 5.6713 5.6713 6.1286
angles: 90.00 90.00 90.00
Atoms (fractional coordinates):
Ba 0.0000 0.0000 0.0000
La 0.0000 0.5000 0.5000
La 0.5000 0.0000 0.5000
Ag 0.5000 0.5000 0.0000
Br 0.0000 0.0000 0.5000

# 2
DFT (GGA-PBE) results for crystalline K2SnTe6Au2 at its relaxed geometry.

Results
The calculation puts the uncorrected formation energy at -0.272 eV per atom. Its crystal system is monoclinic. The space group is C2/m (12).

abc: 7.7897 7.7897 7.4553
angles: 106.23 106.23 69.10
Atoms (fractional coordinates):
K 0.2477 0.2477 0.2188
K 0.7523 0.7523 0.7812
Sn 0.0000 0.0000 0.5000
Te 0.1671 0.7339 0.1554
Te 0.2414 0.2414 0.6878
Te 0.2661 0.8329 0.8446
Te 0.7339 0.1671 0.1554
Te 0.7586 0.7586 0.3122
Te 0.8329 0.2661 0.8446
Au 0.4755 0.4755 0.7840
Au 0.5245 0.5245 0.2160

# 3
DFT (GGA-PBE) results for crystalline Sc2CoC at its relaxed geometry.

Results
Its crystal system is trigonal. The space group is R-3m (166). Its formation enthalpy at 0 K is 0.96 eV/atom.

abc: 8.1892 8.1892 8.1892
angles: 22.68 22.68 22.68
Atoms (fractional coordinates):
Sc 0.0906 0.0906 0.0906
Sc 0.9094 0.9094 0.9094
Co 0.5000 0.5000 0.5000
C 0.0000 0.0000 0.0000

Fermi-level density of states across the listed records, respectively: 1.3188, 0.3754, 0.9306 states/eV/atom.